LiAg2Sb (meta-GGA SCAN, single point on PBEsol structure); E_form (uncorrected) = -0.214 eV/atom; E_tot = -206.48 eV/cell; total moment = 0.000 μB/f.u.
1.0
4.301 0.000 0.000
0.000 4.301 0.000
0.000 0.000 7.794
Li Ag Sb
2 4 2
direct
0.000 0.000 0.000
0.500 0.500 0.500
0.000 0.000 0.500
0.000 0.500 0.750
0.500 0.000 0.250
0.500 0.500 0.000
0.000 0.500 0.250
0.500 0.000 0.750